# LaY3Er | the Alexandria database | PBE-GGA | optimized geometry
data_LaY3Er
_cell_length_a 3.598
_cell_length_b 6.220
_cell_length_c 15.655
_cell_angle_alpha 97.53
_cell_angle_beta 96.59
_cell_angle_gamma 106.78
_symmetry_space_group_name_H-M 'P 1'
_symmetry_Int_Tables_number 1
_symmetry_space_group_name_Hall 'P 1'
loop_
_atom_site_label
_atom_site_type_symbol
_atom_site_fract_x
_atom_site_fract_y
_atom_site_fract_z
La1 La 0.203 0.753 0.652
La2 La 0.797 0.247 0.348
Y1 Y 0.401 0.249 0.552
Y2 Y 0.600 0.249 0.951
Y3 Y 0.201 0.253 0.149
Y4 Y 0.599 0.751 0.448
Y5 Y 0.799 0.747 0.851
Y6 Y 0.400 0.751 0.049
Er1 Er 0.002 0.251 0.752
Er2 Er 0.998 0.749 0.248
# Offset from the most stable computed form = 0.00 kcal/mol of atoms
# Formation enthalpy at 0 K = 26.7 meV per atom
# Total magnetization = 0.000 Bohr magnetons per cell